# LiLa2VO6, relaxed, DFT PBE with a Hubbard U
data_LiLa2VO6
_chemical_formula_sum 'Li2 La4 V2 O12'
_symmetry_space_group_name_H-M 'P 1 21/c 1'
_symmetry_Int_Tables_number 14
_cell_length_a 5.532
_cell_length_b 5.647
_cell_length_c 9.564
_cell_angle_alpha 90.00
_cell_angle_beta 125.28
_cell_angle_gamma 90.00
loop_
_symmetry_equiv_pos_as_xyz
'x,y,z'
'-x,-y,-z'
'-x,y+1/2,-z+1/2'
'x,-y+1/2,z+1/2'
loop_
_atom_site_label
_atom_site_type_symbol
_atom_site_fract_x
_atom_site_fract_y
_atom_site_fract_z
Li1 Li 0.000 0.000 0.000
La1 La 0.257 0.048 0.749
V1 V 0.500 0.000 0.500
O1 O 0.184 0.022 0.263
O2 O 0.264 0.692 0.040
O3 O 0.353 0.223 0.044
# total magnetic moment	0.0	μB per formula unit
# VASP energy	-153.748	eV/cell
# energy above the most stable polymorph in this dataset	0	meV per atom